No. 1
Density functional theory data (PBE) for TlCd2Pd8 after structural relaxation.

Structure (POSCAR):
```
TlCd2Pd8
1.0
4.262 0.000 -1.297
-1.002 5.795 -3.292
-0.034 0.356 7.537
Pd Tl Cd
8 1 2
Direct
0.349 0.132 0.699
0.651 0.433 0.301
0.000 0.291 0.000
0.651 0.868 0.301
0.000 0.709 0.000
0.841 0.841 0.682
0.349 0.567 0.699
0.159 0.159 0.318
0.500 0.000 0.000
0.807 0.307 0.614
0.193 0.693 0.386
```

Properties
Formation energy from the elements in eV/atom: -0.15
E above lowest polymorph in meV per atom: 93

No. 2
Density functional theory data (PBE) for Ce8Sb4Se3 after structural relaxation.

Structure (POSCAR):
```
Ce8Sb4Se3
1.0
8.721 -0.118 -0.170
-4.254 7.590 0.130
-4.254 -2.513 7.163
Se Sb Ce
3 4 8
Direct
0.500 0.500 0.500
0.500 0.500 0.000
0.500 0.000 0.500
0.000 0.500 0.000
0.000 0.000 0.500
0.500 0.000 0.000
0.000 0.000 0.000
0.500 0.255 0.745
0.510 0.261 0.261
0.500 0.745 0.255
0.000 0.256 0.744
0.000 0.744 0.256
0.988 0.738 0.738
0.012 0.262 0.262
0.490 0.739 0.739
```

Properties
Energy relative to the elements, uncorrected in eV/f.u.: -17.71

No. 3
Density functional theory data (PBE) for Ac2PuHO6 after structural relaxation.

Structure (POSCAR):
```
Ac2PuHO6
1.0
-2.355 2.951 5.301
-7.174 -1.445 -2.383
-0.992 -4.147 5.500
O Ac H Pu
12 4 2 2
Direct
0.234 0.870 0.937
0.266 0.370 0.563
0.604 0.794 0.087
0.752 0.972 0.710
0.766 0.130 0.063
0.396 0.206 0.913
0.748 0.472 0.790
0.248 0.028 0.290
0.734 0.630 0.437
0.104 0.706 0.587
0.252 0.528 0.210
0.896 0.294 0.413
0.134 0.068 0.696
0.866 0.932 0.304
0.366 0.568 0.804
0.634 0.432 0.196
0.500 0.000 0.500
0.000 0.500 0.000
0.500 0.000 0.000
0.000 0.500 0.500
```

Properties
Total energy in eV per atom: -8.129

No. 4
Density functional theory data (PBE) for Ca2Si2AgPd5 after structural relaxation.

Structure (POSCAR):
```
Ca2Si2AgPd5
1.0
-1.022 3.163 -0.918
-8.651 -3.871 -3.708
-4.432 1.204 9.082
Ca Pd Si Ag
4 10 4 2
Direct
0.000 0.175 0.325
0.000 0.325 0.825
0.000 0.675 0.175
0.000 0.825 0.675
0.500 0.933 0.215
0.500 0.715 0.433
0.500 0.067 0.785
0.500 0.433 0.285
0.500 0.567 0.715
0.500 0.285 0.567
0.500 0.215 0.067
0.500 0.785 0.933
0.500 0.500 0.000
0.500 0.000 0.500
0.000 0.374 0.126
0.000 0.874 0.374
0.000 0.126 0.626
0.000 0.626 0.874
0.000 0.500 0.500
0.000 0.000 0.000
```

Properties
Energy relative to the elements, uncorrected in eV/f.u.: -6.40